Entry from Alexandria via LeMat-Bulk: an optimized crystal structure of Nd2In3Cu (GGA-PBE).

POSCAR file:
```
Nd2In3Cu
1.0
3.797 0.000 0.000
0.000 4.822 0.000
0.000 0.000 8.400
Nd In Cu
2 3 1
Direct
0.000 0.500 0.012 Nd
0.000 0.000 0.493 Nd
0.500 0.000 0.837 In
0.500 0.000 0.182 In
0.500 0.500 0.648 In
0.500 0.500 0.328 Cu
```

Values from the calculation:
Relative energy among the computed polymorphs = 0.33 kcal/mol of atoms
N(E_F) = 4.13 states/eV per cell
VASP energy = -4.056 eV/atom
Magnetic moment = 0.00 μB/cell